(1)
The following is a DFT calculation (PBE-GGA) of crystalline GePd at its relaxed geometry.

## Properties
The formation enthalpy at 0 K is -0.1335 eV/atom. For the volume, the calculation gives 35.3 Å³ per cell. The calculation puts the density of states at the Fermi level at 1.51 states/eV/cell. As for the calculated total energy: -10.08 eV/cell.

abc: 3.681 3.681 3.681
angles: 60.00 60.00 60.00
Fractional positions:
Ge: 0.000 0.000 0.000
Pd: 0.500 0.500 0.500

***

(2)
The following is a DFT calculation (PBE-GGA) of crystalline CeAgH6Ru at its relaxed geometry.

## Properties
For the volume, the calculation gives 87.3 Å³ per cell. The calculation puts the density of states at the Fermi level at 5.52 states/eV/cell. As for the calculated total energy: -39.65 eV/cell.

abc: 4.812 4.812 4.355
angles: 90.00 90.00 120.00
Fractional positions:
Ce: 0.000 0.000 0.000
Ag: 0.667 0.333 0.500
H: 0.043 0.522 0.221
H: 0.043 0.522 0.779
H: 0.478 0.522 0.221
H: 0.478 0.522 0.779
H: 0.478 0.957 0.221
H: 0.478 0.957 0.779
Ru: 0.333 0.667 0.500

***

(3)
The following is a DFT calculation (PBE-GGA) of crystalline Zn3AgSn at its relaxed geometry.

## Properties
The energy above the most stable polymorph in this dataset comes out at 0.00 eV per formula unit. The formation enthalpy at 0 K is 0.3793 eV/atom. For the volume, the calculation gives 116.5 Å³ per cell. The calculation puts the density of states at the Fermi level at 1.77 states/eV/cell. As for the calculated total energy: -8.78 eV/cell.

abc: 4.883 4.883 4.883
angles: 90.00 90.00 90.00
Fractional positions:
Zn: 0.000 0.000 0.500
Zn: 0.000 0.500 0.000
Zn: 0.500 0.000 0.000
Ag: 0.000 0.000 0.000
Sn: 0.500 0.500 0.500

***

(4)
The following is a DFT calculation (PBE-GGA) of crystalline IrRhW at its relaxed geometry.

## Properties
The energy above the most stable polymorph in this dataset comes out at 0.16 eV per formula unit. The formation enthalpy at 0 K is -0.2170 eV/atom. For the volume, the calculation gives 178.4 Å³ per cell. The calculation puts the density of states at the Fermi level at 10.22 states/eV/cell. As for the calculated total energy: -119.27 eV/cell.

abc: 5.488 3.914 8.305
angles: 90.00 90.00 90.00
Fractional positions:
Ir: 0.122 0.250 0.240
Ir: 0.378 0.750 0.740
Ir: 0.622 0.250 0.260
Ir: 0.878 0.750 0.760
Rh: 0.126 0.250 0.586
Rh: 0.374 0.750 0.086
Rh: 0.626 0.250 0.914
Rh: 0.874 0.750 0.414
W: 0.134 0.250 0.913
W: 0.366 0.750 0.413
W: 0.634 0.250 0.587
W: 0.866 0.750 0.087

***

(5)
The following is a DFT calculation (PBE-GGA) of crystalline PmNdGdPb at its relaxed geometry.

## Properties
The formation enthalpy at 0 K is -0.1844 eV/atom. For the volume, the calculation gives 123.3 Å³ per cell. The calculation puts the density of states at the Fermi level at 5.66 states/eV/cell. As for the calculated total energy: -28.05 eV/cell.

abc: 5.587 5.587 5.587
angles: 60.00 60.00 60.00
Fractional positions:
Pm: 0.000 0.000 0.000
Nd: 0.500 0.500 0.500
Gd: 0.750 0.750 0.750
Pb: 0.250 0.250 0.250

***

(6)
The following is a DFT calculation (PBE-GGA) of crystalline CsLiSnCl2 at its relaxed geometry.

## Properties
The calculation puts the uncorrected formation energy at -0.7649 eV/atom. For the volume, the calculation gives 146.7 Å³ per cell. The calculation puts the density of states at the Fermi level at 3.14 states/eV/cell. As for the calculated total energy: -14.29 eV/cell.

abc: 5.233 5.233 5.356
angles: 90.00 90.00 90.00
Fractional positions:
Cs: 0.000 0.000 0.000
Li: 0.500 0.500 0.500
Sn: 0.500 0.500 0.000
Cl: 0.000 0.500 0.500
Cl: 0.500 0.000 0.500

***

(7)
The following is a DFT calculation (PBE-GGA) of crystalline Mg2NiIr at its relaxed geometry.

## Properties
The formation enthalpy at 0 K is -0.1347 eV/atom. For the volume, the calculation gives 59.4 Å³ per cell. The calculation puts the density of states at the Fermi level at 5.75 states/eV/cell. As for the calculated total energy: -18.37 eV/cell.

abc: 4.380 4.380 4.380
angles: 60.00 60.00 60.00
Fractional positions:
Mg: 0.000 0.000 0.000
Mg: 0.250 0.250 0.250
Ni: 0.500 0.500 0.500
Ir: 0.750 0.750 0.750

***

(8)
The following is a DFT calculation (PBE-GGA) of crystalline PrEu2Sb at its relaxed geometry.

## Properties
The calculation puts the uncorrected formation energy at -0.5238 eV/atom. For the volume, the calculation gives 126.9 Å³ per cell. The calculation puts the density of states at the Fermi level at 4.35 states/eV/cell. As for the calculated total energy: -31.55 eV/cell.

abc: 4.954 4.954 5.171
angles: 90.00 90.00 90.00
Fractional positions:
Pr: 0.000 0.000 0.000
Eu: 0.000 0.500 0.500
Eu: 0.500 0.000 0.500
Sb: 0.500 0.500 0.000

***

> Which of these has the lowest calculated total energy?

IrRhW

***

> calculated total energy of number 3 (Zn3AgSn)?

-8.78 eV/cell

***

> Look up the calculated total energy of the third one.

-8.78 eV/cell